Record 1
Below is a geometry-optimized Mn3Mo5 structure, with properties calculated at the PBE level. Values from VASP.

Cell and atoms, written as Quantum ESPRESSO input:
```
&SYSTEM
  ibrav = 0, nat = 8, ntyp = 2
/
ATOMIC_SPECIES
Mn 54.94 Mn.upf
Mo 95.94 Mo.upf
CELL_PARAMETERS angstrom
3.075 -4.337 0.000
3.075 4.337 0.000
0.000 0.000 4.326
ATOMIC_POSITIONS angstrom
Mn 0.000 0.000 0.000
Mn 3.075 2.225 2.163
Mn 3.075 -2.225 2.163
Mo 1.537 2.168 0.000
Mo 1.515 0.000 2.163
Mo 1.537 -2.168 0.000
Mo 3.075 0.000 0.000
Mo 4.635 0.000 2.163
```

Output
Total magnetization, μB per atom: 0.564
Density, Mg/m³: 9.3
Space-group type: Cmmm, No. 65
E above lowest polymorph, eV per atom: 0.000
DFT formation energy, eV/atom: 0.132


Record 2
Below is a geometry-optimized AcPmNdLu structure, with properties calculated at the PBE level. Values from VASP.

Cell and atoms, written as Quantum ESPRESSO input:
```
&SYSTEM
  ibrav = 0, nat = 4, ntyp = 4
/
ATOMIC_SPECIES
Ac 227.00 Ac.upf
Pm 145.00 Pm.upf
Nd 144.24 Nd.upf
Lu 174.97 Lu.upf
CELL_PARAMETERS angstrom
0.000 4.165 4.165
4.165 0.000 4.165
4.165 4.165 0.000
ATOMIC_POSITIONS angstrom
Ac 0.000 0.000 0.000
Pm 2.083 2.083 2.083
Nd 6.248 6.248 6.248
Lu 4.165 4.165 4.165
```

Output
Total magnetization, μB per atom: 0.005
Density, Mg/m³: 7.9
Space-group type: F-43m, No. 216
DFT formation energy, eV/atom: 0.174


Record 3
Below is a geometry-optimized Zr2MoAs structure, with properties calculated at the PBE level. Values from VASP.

Cell and atoms, written as Quantum ESPRESSO input:
```
&SYSTEM
  ibrav = 0, nat = 4, ntyp = 3
/
ATOMIC_SPECIES
Zr 91.22 Zr.upf
Mo 95.94 Mo.upf
As 74.92 As.upf
CELL_PARAMETERS angstrom
-2.160 2.256 3.838
2.160 -2.256 3.838
2.160 2.256 -3.838
ATOMIC_POSITIONS angstrom
Zr 0.000 0.000 1.872
Zr 0.000 0.000 5.804
Mo 2.160 0.000 0.000
As 0.000 2.256 0.000
```

Output
Total magnetization, μB per atom: 0.000
Density, Mg/m³: 7.8
Space-group type: Immm, No. 71
DFT formation energy, eV/atom: -0.247


Record 4
Below is a geometry-optimized Ce2UPdS4 structure, with properties calculated at the PBE level. Values from VASP.

Cell and atoms, written as Quantum ESPRESSO input:
```
&SYSTEM
  ibrav = 0, nat = 8, ntyp = 4
/
ATOMIC_SPECIES
Ce 140.12 Ce.upf
U 238.03 U.upf
Pd 106.42 Pd.upf
S 32.06 S.upf
CELL_PARAMETERS angstrom
-3.418 3.418 3.424
3.418 -3.418 3.424
3.418 3.418 -3.424
ATOMIC_POSITIONS angstrom
Ce 3.418 0.000 0.000
Ce 0.000 3.418 0.000
U 0.000 0.000 0.000
Pd 0.000 0.000 3.424
S 1.996 1.996 -1.474
S 1.422 1.422 1.951
S 1.422 -1.422 4.898
S -1.422 1.422 4.898
```

Output
Total magnetization, μB per atom: 0.679
Density, Mg/m³: 7.8
Space-group type: I-42m, No. 121
ΔE_f (raw), eV per atom: -1.363